[1]
DFT (PBE-GGA) results for ReBAsP after structural relaxation.

a b c (Å): 2.950 2.996 7.489
angles (deg): 90.58 90.62 90.00
Positions (direct):
1 Re 0.119 0.129 0.146
2 P 0.126 0.635 0.414
3 As 0.613 0.623 0.927
4 B 0.625 0.134 0.367

Summary:
DOS(E_F) ... 0.951 states/eV/f.u.
Size of the total moment ... 0.00 μB per atom
Space group ... P1 (1)
Formation energy ... 202 meV/atom
Uncorrected energy ... -7.094 eV per atom


[2]
DFT (PBE-GGA) results for ReBAsP after structural relaxation.

a b c (Å): 3.240 3.072 11.206
angles (deg): 90.00 97.13 90.00
Positions (direct):
1 P 0.569 0.000 0.750
2 Re 0.094 0.000 0.344
3 P 0.569 0.500 0.250
4 Re 0.094 0.500 0.844
5 As 0.179 0.000 0.026
6 As 0.179 0.500 0.526
7 B 0.735 0.500 0.642
8 B 0.735 0.000 0.142

Summary:
DOS(E_F) ... 0.608 states/eV/f.u.
Size of the total moment ... 0.00 μB per atom
Space group ... Cm (8)
Formation energy ... 142 meV/atom
Uncorrected energy ... -7.155 eV per atom


[3]
DFT (PBE-GGA) results for ReBAsP after structural relaxation.

a b c (Å): 3.007 3.963 6.555
angles (deg): 97.35 102.80 112.25
Positions (direct):
1 Re 0.985 0.865 0.785
2 As 0.864 0.367 0.049
3 P 0.514 0.153 0.546
4 B 0.259 0.429 0.767

Summary:
DOS(E_F) ... 1.031 states/eV/f.u.
Size of the total moment ... 0.00 μB per atom
Space group ... P1 (1)
Formation energy ... 112 meV/atom
Uncorrected energy ... -7.185 eV per atom


[4]
DFT (PBE-GGA) results for ReBAsP after structural relaxation.

a b c (Å): 2.951 3.003 7.278
angles (deg): 90.00 101.30 90.00
Positions (direct):
1 As 0.262 0.500 0.154
2 P 0.978 0.000 0.608
3 B 0.157 0.000 0.943
4 Re 0.604 0.500 0.821

Summary:
DOS(E_F) ... 1.331 states/eV/f.u.
Size of the total moment ... 0.00 μB per atom
Space group ... Pm (6)
Formation energy ... 190 meV/atom
Uncorrected energy ... -7.107 eV per atom


[5]
DFT (PBE-GGA) results for ReBAsP after structural relaxation.

a b c (Å): 3.253 2.979 6.132
angles (deg): 90.00 90.00 90.00
Positions (direct):
1 As 0.000 0.000 0.045
2 P 0.500 0.000 0.538
3 B 0.500 0.000 0.231
4 Re 0.000 0.500 0.712

Summary:
DOS(E_F) ... 1.345 states/eV/f.u.
Size of the total moment ... 0.00 μB per atom
Space group ... Pmm2 (25)
Formation energy ... 142 meV/atom
Uncorrected energy ... -7.154 eV per atom


[6]
DFT (PBE-GGA) results for ReBAsP after structural relaxation.

a b c (Å): 3.074 3.074 7.672
angles (deg): 90.00 90.00 120.00
Positions (direct):
1 B 0.000 0.000 0.993
2 Re 0.667 0.333 0.802
3 P 0.333 0.667 0.582
4 As 0.667 0.333 0.148

Summary:
DOS(E_F) ... 1.265 states/eV/f.u.
Size of the total moment ... 0.00 μB per atom
Space group ... P3m1 (156)
Formation energy ... 95 meV/atom
Uncorrected energy ... -7.201 eV per atom


[7]
DFT (PBE-GGA) results for BAsPSe2 after structural relaxation.

a b c (Å): 4.914 4.914 4.656
angles (deg): 90.00 90.00 90.00
Positions (direct):
1 B 0.500 0.500 0.500
2 P 0.000 0.000 0.000
3 Se 0.500 0.000 0.000
4 Se 0.000 0.500 0.000
5 As 0.000 0.000 0.500

Summary:
Energy relative to the elements, uncorrected ... 1.38 eV/atom
DOS(E_F) ... 4.330 states/eV/f.u.
Size of the total moment ... 0.00 μB per atom
Space group ... P4/mmm (123)
Uncorrected energy ... -3.359 eV per atom


[8]
DFT (PBE-GGA) results for B2AsPSe after structural relaxation.

a b c (Å): 4.086 5.015 4.086
angles (deg): 90.00 90.00 90.00
Positions (direct):
1 B 0.000 0.000 0.500
2 P 0.000 0.500 0.000
3 Se 0.500 0.500 0.500
4 As 0.000 0.000 0.000
5 B 0.500 0.000 0.000

Summary:
Energy relative to the elements, uncorrected ... 1.49 eV/atom
DOS(E_F) ... 2.235 states/eV/f.u.
Size of the total moment ... 0.00 μB per atom
Space group ... P4/mmm (123)
Uncorrected energy ... -3.888 eV per atom